Entry 1:
Below is a relaxed structure of TmBS, with properties calculated at the PBE level. Values from VASP.

Computed properties:
Formation energy without anion corrections: -623 meV/atom
Spin magnetization: 0.0 μB per cell
Energy above the most stable polymorph in this dataset: 0.1297 eV/atom
Crystal system: orthorhombic
VASP energy: -5.71 eV/atom

The structure in Quantum ESPRESSO input format:
```
&SYSTEM
  ibrav = 0, nat = 6, ntyp = 3
/
ATOMIC_SPECIES
Tm 168.93 Tm.upf
B 10.81 B.upf
S 32.06 S.upf
ATOMIC_POSITIONS angstrom
Tm 1.930 5.826 2.518
Tm 1.930 -5.826 0.839
B 1.930 0.268 2.518
B 1.930 -0.268 0.839
S 1.930 3.635 0.839
S 1.930 -3.635 2.518
CELL_PARAMETERS angstrom
1.930 -7.315 0.000
1.930 7.315 0.000
0.000 0.000 3.357
```

Entry 2:
Below is a relaxed structure of Li2ReOs, with properties calculated at the PBE level. Values from VASP.

Computed properties:
Spin magnetization: 0.0 μB per cell
Formation energy from the elements: 1.0 eV/f.u.
Energy above the most stable polymorph in this dataset: 0.1461 eV/atom
Crystal system: orthorhombic
VASP energy: -6.62 eV/atom

The structure in Quantum ESPRESSO input format:
```
&SYSTEM
  ibrav = 0, nat = 4, ntyp = 3
/
ATOMIC_SPECIES
Li 6.94 Li.upf
Re 186.21 Re.upf
Os 190.23 Os.upf
ATOMIC_POSITIONS angstrom
Li 0.000 0.000 0.000
Li 1.487 2.074 0.000
Re 0.000 2.074 2.303
Os 1.487 0.000 2.303
CELL_PARAMETERS angstrom
2.974 0.000 0.000
0.000 4.148 0.000
0.000 0.000 4.605
```

Entry 3:
Below is a relaxed structure of KNi2Au2, with properties calculated at the PBE level. Values from VASP.

Computed properties:
Spin magnetization: 0.7 μB per cell
Formation energy from the elements: 1.4 eV/f.u.
Energy above the most stable polymorph in this dataset: 0.1469 eV/atom
Crystal system: tetragonal
VASP energy: -3.56 eV/atom

The structure in Quantum ESPRESSO input format:
```
&SYSTEM
  ibrav = 0, nat = 5, ntyp = 3
/
ATOMIC_SPECIES
K 39.10 K.upf
Ni 58.69 Ni.upf
Au 196.97 Au.upf
ATOMIC_POSITIONS angstrom
K 0.000 0.000 0.000
Ni 0.000 0.000 3.683
Ni 0.000 0.000 6.016
Au 2.270 0.000 2.425
Au 0.000 2.270 2.425
CELL_PARAMETERS angstrom
-2.270 2.270 4.849
2.270 -2.270 4.849
2.270 2.270 -4.849
```

Entry 4:
Below is a relaxed structure of Li2Mg2S3O12, with properties calculated at the PBE level. Values from VASP.

Computed properties:
Formation energy without anion corrections: -1941 meV/atom
Spin magnetization: 0.0 μB per cell
Crystal system: orthorhombic
VASP energy: -6.09 eV/atom

The structure in Quantum ESPRESSO input format:
```
&SYSTEM
  ibrav = 0, nat = 76, ntyp = 4
/
ATOMIC_SPECIES
Li 6.94 Li.upf
Mg 24.30 Mg.upf
S 32.06 S.upf
O 16.00 O.upf
ATOMIC_POSITIONS angstrom
Li 2.240 1.853 1.965
Li 2.240 6.782 6.367
Li 3.934 2.464 6.367
Li 3.934 6.171 1.965
Li 8.415 2.464 6.841
Li 8.415 6.171 2.438
Li 10.109 1.853 2.438
Li 10.109 6.782 6.841
Mg 1.343 2.201 4.771
Mg 1.343 6.434 0.368
Mg 4.832 2.116 0.368
Mg 4.832 6.519 4.771
Mg 7.518 2.116 4.035
Mg 7.518 6.519 8.438
Mg 11.006 2.201 8.438
Mg 11.006 6.434 4.035
S 0.000 3.908 2.201
S 0.000 4.728 6.604
S 1.833 0.914 7.887
S 1.833 7.721 3.485
S 4.342 3.403 3.485
S 4.342 5.232 7.887
S 6.175 0.410 6.604
S 6.175 8.225 2.201
S 8.008 3.403 0.918
S 8.008 5.232 5.321
S 10.516 0.914 5.321
S 10.516 7.721 0.918
O 0.462 1.303 8.219
O 0.462 7.332 3.816
O 0.772 3.925 5.652
O 0.772 4.710 1.250
O 0.960 3.009 2.919
O 0.960 5.627 7.322
O 1.957 0.571 3.461
O 1.957 8.065 7.864
O 2.229 1.443 6.546
O 2.229 7.192 2.143
O 2.764 1.465 0.116
O 2.764 7.171 4.519
O 3.411 2.853 4.519
O 3.411 5.782 0.116
O 3.946 2.874 2.143
O 3.946 5.761 6.546
O 4.218 3.747 7.864
O 4.218 4.888 3.461
O 5.215 1.309 7.322
O 5.215 7.326 2.919
O 5.403 0.392 1.250
O 5.403 8.243 5.652
O 5.713 3.014 3.816
O 5.713 5.621 8.219
O 6.637 3.014 0.587
O 6.637 5.621 4.990
O 6.947 0.392 3.153
O 6.947 8.243 7.556
O 7.135 1.309 5.886
O 7.135 7.326 1.484
O 8.132 3.747 5.344
O 8.132 4.888 0.941
O 8.404 2.874 2.260
O 8.404 5.761 6.663
O 8.938 2.853 8.690
O 8.938 5.782 4.287
O 9.586 1.465 4.287
O 9.586 7.171 8.690
O 10.121 1.443 6.663
O 10.121 7.192 2.260
O 10.393 0.571 0.941
O 10.393 8.065 5.344
O 11.390 3.009 1.484
O 11.390 5.627 5.886
O 11.578 3.925 7.556
O 11.578 4.710 3.153
O 11.888 1.303 4.990
O 11.888 7.332 0.587
CELL_PARAMETERS angstrom
12.350 0.000 0.000
0.000 8.635 0.000
0.000 0.000 8.806
```

Entry 5:
Below is a relaxed structure of HgPtCl2, with properties calculated at the PBE level. Values from VASP.

Computed properties:
Formation energy without anion corrections: 68 meV/atom
Spin magnetization: 0.0 μB per cell
Energy above the most stable polymorph in this dataset: 0.2914 eV/atom
Crystal system: tetragonal
VASP energy: -2.44 eV/atom

The structure in Quantum ESPRESSO input format:
```
&SYSTEM
  ibrav = 0, nat = 8, ntyp = 3
/
ATOMIC_SPECIES
Hg 200.59 Hg.upf
Pt 195.08 Pt.upf
Cl 35.45 Cl.upf
ATOMIC_POSITIONS angstrom
Hg 0.000 0.000 0.000
Hg 0.000 3.764 2.795
Pt 3.764 0.000 2.795
Pt 0.000 0.000 5.590
Cl 1.882 -0.099 4.193
Cl 3.665 1.882 1.398
Cl 1.882 3.863 -1.398
Cl 0.099 1.882 6.988
CELL_PARAMETERS angstrom
-3.764 3.764 5.590
3.764 -3.764 5.590
3.764 3.764 -5.590
```

Entry 6:
Below is a relaxed structure of Ca2AuSe, with properties calculated at the PBE level. Values from VASP.

Computed properties:
Formation energy without anion corrections: -1192 meV/atom
Spin magnetization: 0.0 μB per cell
Crystal system: orthorhombic
VASP energy: -3.88 eV/atom

The structure in Quantum ESPRESSO input format:
```
&SYSTEM
  ibrav = 0, nat = 4, ntyp = 3
/
ATOMIC_SPECIES
Ca 40.08 Ca.upf
Au 196.97 Au.upf
Se 78.96 Se.upf
ATOMIC_POSITIONS angstrom
Ca 0.000 0.000 0.000
Ca 0.000 1.992 3.504
Au 1.920 0.000 4.804
Se 0.000 0.000 8.341
CELL_PARAMETERS angstrom
-1.920 1.992 7.169
1.920 -1.992 7.169
1.920 1.992 -7.169
```

Entry 7:
Below is a relaxed structure of Al2SnN, with properties calculated at the PBE level. Values from VASP.

Computed properties:
Formation energy without anion corrections: 1020 meV/atom
Spin magnetization: 0.0 μB per cell
Crystal system: cubic
VASP energy: -3.93 eV/atom

The structure in Quantum ESPRESSO input format:
```
&SYSTEM
  ibrav = 0, nat = 4, ntyp = 3
/
ATOMIC_SPECIES
Al 26.98 Al.upf
Sn 118.71 Sn.upf
N 14.01 N.upf
ATOMIC_POSITIONS angstrom
Al 1.608 1.608 1.608
Al 4.824 4.824 4.824
Sn 0.000 0.000 0.000
N 3.216 3.216 3.216
CELL_PARAMETERS angstrom
0.000 3.216 3.216
3.216 0.000 3.216
3.216 3.216 0.000
```

Entry 8:
Below is a relaxed structure of CeTiSeO2, with properties calculated at the PBE level. Values from VASP.

Computed properties:
Formation energy without anion corrections: -2578 meV/atom
Spin magnetization: 2.0 μB per cell
Crystal system: tetragonal
VASP energy: -8.02 eV/atom

The structure in Quantum ESPRESSO input format:
```
&SYSTEM
  ibrav = 0, nat = 5, ntyp = 4
/
ATOMIC_SPECIES
Ce 140.12 Ce.upf
Ti 47.87 Ti.upf
Se 78.96 Se.upf
O 16.00 O.upf
ATOMIC_POSITIONS angstrom
Ce 0.000 0.000 0.000
Ti 2.001 2.001 1.632
Se 2.001 2.001 4.234
O 0.000 2.001 1.353
O 2.001 0.000 1.353
CELL_PARAMETERS angstrom
4.002 0.000 0.000
0.000 4.002 0.000
0.000 0.000 5.569
```

Entry 9:
Below is a relaxed structure of Y3Rh, with properties calculated at the PBE level. Values from VASP.

Computed properties:
Spin magnetization: 0.0 μB per cell
Formation energy from the elements: -0.6 eV/f.u.
Crystal system: hexagonal
VASP energy: -6.83 eV/atom

The structure in Quantum ESPRESSO input format:
```
&SYSTEM
  ibrav = 0, nat = 16, ntyp = 2
/
ATOMIC_SPECIES
Y 88.91 Y.upf
Rh 102.91 Rh.upf
ATOMIC_POSITIONS angstrom
Y -1.686 2.920 0.000
Y -1.686 2.920 5.134
Y 0.000 1.823 2.567
Y -1.794 4.930 2.567
Y 1.578 0.911 7.701
Y 3.372 0.000 0.000
Y 3.372 0.000 5.134
Y 1.686 2.920 0.000
Y 1.686 2.920 5.134
Y 1.794 4.930 2.567
Y 5.166 0.911 7.701
Y 3.372 4.018 7.701
Rh 0.000 0.000 0.000
Rh 0.000 0.000 5.134
Rh 0.000 3.894 7.701
Rh 3.372 1.947 2.567
CELL_PARAMETERS angstrom
6.744 0.000 0.000
-3.372 5.841 0.000
0.000 0.000 10.268
```

Entry 10:
Below is a relaxed structure of BaCdSe2, with properties calculated at the PBE level. Values from VASP.

Computed properties:
Formation energy without anion corrections: -1294 meV/atom
Spin magnetization: 0.0 μB per cell
Crystal system: monoclinic
VASP energy: -3.75 eV/atom

The structure in Quantum ESPRESSO input format:
```
&SYSTEM
  ibrav = 0, nat = 16, ntyp = 3
/
ATOMIC_SPECIES
Ba 137.33 Ba.upf
Cd 112.41 Cd.upf
Se 78.96 Se.upf
ATOMIC_POSITIONS angstrom
Ba 0.928 0.483 2.258
Ba 0.358 3.560 6.404
Ba 6.681 4.526 1.887
Ba 6.111 7.603 6.033
Cd 3.130 5.537 0.917
Cd 2.560 6.592 5.063
Cd 4.479 1.494 3.229
Cd 3.909 2.549 7.374
Se 0.143 6.016 4.268
Se 0.713 6.113 0.122
Se 2.736 1.282 5.342
Se 3.305 2.761 1.196
Se 3.733 5.325 7.095
Se 4.303 6.804 2.949
Se 6.326 1.973 8.170
Se 6.896 2.070 4.024
CELL_PARAMETERS angstrom
8.178 0.000 0.000
0.000 8.086 0.000
-1.139 0.000 8.292
```

Entry 11:
Below is a relaxed structure of SiRuW3, with properties calculated at the PBE level. Values from VASP.

Computed properties:
Formation energy without anion corrections: 2071 meV/atom
Spin magnetization: 0.0 μB per cell
Energy above the most stable polymorph in this dataset: 0.6772 eV/atom
Crystal system: cubic
VASP energy: -8.64 eV/atom

The structure in Quantum ESPRESSO input format:
```
&SYSTEM
  ibrav = 0, nat = 5, ntyp = 3
/
ATOMIC_SPECIES
Si 28.09 Si.upf
Ru 101.07 Ru.upf
W 183.84 W.upf
ATOMIC_POSITIONS angstrom
Si 0.000 0.000 0.000
Ru 2.340 2.340 2.340
W 0.000 2.340 2.340
W 2.340 0.000 2.340
W 2.340 2.340 0.000
CELL_PARAMETERS angstrom
4.681 0.000 0.000
0.000 4.681 0.000
0.000 0.000 4.681
```

Entry 12:
Below is a relaxed structure of Cs2BTeBr6, with properties calculated at the PBE level. Values from VASP.

Computed properties:
Formation energy without anion corrections: -636 meV/atom
Spin magnetization: 0.0 μB per cell
Crystal system: tetragonal
VASP energy: -2.79 eV/atom

The structure in Quantum ESPRESSO input format:
```
&SYSTEM
  ibrav = 0, nat = 10, ntyp = 4
/
ATOMIC_SPECIES
Cs 132.91 Cs.upf
B 10.81 B.upf
Te 127.60 Te.upf
Br 79.90 Br.upf
ATOMIC_POSITIONS angstrom
Cs 3.854 0.000 3.003
Cs 0.000 3.854 3.003
B 0.000 0.000 0.000
Te 0.000 0.000 6.007
Br 1.576 1.576 0.000
Br 2.279 -2.279 6.007
Br 0.000 0.000 3.253
Br 0.000 0.000 8.761
Br -2.279 2.279 6.007
Br 2.279 2.279 6.007
CELL_PARAMETERS angstrom
-3.854 3.854 6.007
3.854 -3.854 6.007
3.854 3.854 -6.007
```